Mo2AsRu: optimized geometry, GGA-PBE.

The density of states at the Fermi level is 2.5 states/eV/f.u. Its total moment is 0.00 μB per formula unit. Its density is 10.1 g/cm³. The calculation puts the formation energy from the elements at 51 meV per atom. For the total energy, the calculation gives -8.8460 eV/atom.

It has space group Pmmm (No. 47), with a = 2.8792 Å, b = 4.1350 Å, c = 5.0809 Å, α = 90.00°, β = 90.00° and γ = 90.00°. The distinct sites, in fractional coordinates, are Mo at (0.0000, 0.0000, 0.2476), As at (0.5000, 0.5000, 0.0000) and Ru at (0.5000, 0.5000, 0.5000).